1:
Compound: MgIn3Si
Source: the Alexandria database
Functional: PBE-GGA
Structure: optimized geometry

Cell and atoms, written as POSCAR:
```
MgIn3Si
1.0
5.2609 0.0000 0.0000
0.0000 5.2609 0.0000
0.0000 0.0000 5.2609
Mg In Si
1 3 1
direct
0.0000 0.0000 0.0000
0.0000 0.5000 0.5000
0.5000 0.0000 0.5000
0.5000 0.5000 0.0000
0.5000 0.5000 0.5000
```

size of the total moment	0.0	Bohr magnetons per cell
space-group type	Pm-3m, No. 221
Fermi-level density of states	0.882	states/eV/atom

=====

2:
Compound: MgIn3Si
Source: the Alexandria database
Functional: PBE-GGA
Structure: optimized geometry

Cell and atoms, written as POSCAR:
```
MgIn3Si
1.0
5.3631 0.0000 0.0000
0.0000 5.3631 0.0000
0.0000 0.0000 5.3631
Mg In Si
1 3 1
direct
0.0000 0.0000 0.0000
0.0000 0.0000 0.5000
0.0000 0.5000 0.0000
0.5000 0.0000 0.0000
0.5000 0.5000 0.5000
```

size of the total moment	0.0	Bohr magnetons per cell
space-group type	Pm-3m, No. 221
Fermi-level density of states	1.047	states/eV/atom

=====

1 is the most stable structure; the next one sits 377 meV per atom above it.